The following is a DFT calculation (PBE) of a geometry-optimized Y5Hg2Pt2 structure.

- ΔE_f: -796.2 meV/atom
- Space group: Cmce (64)

a = 7.572 Å, b = 7.773 Å, c = 8.808 Å
α = 116.18°, β = 90.00°, γ = 90.00°
Positions (direct):
1 Y 0.334 0.951 0.250
2 Y 0.834 0.799 0.250
3 Y 0.166 0.451 0.250
4 Y 0.000 0.000 0.000
5 Y 0.834 0.549 0.750
6 Y 0.666 0.049 0.750
7 Y 0.166 0.201 0.750
8 Y 0.500 0.500 0.000
9 Y 0.666 0.299 0.250
10 Y 0.334 0.701 0.750
11 Hg 0.500 0.287 0.574
12 Hg 0.500 0.713 0.426
13 Hg 0.000 0.787 0.574
14 Hg 0.000 0.213 0.426
15 Pt 0.133 0.631 0.000
16 Pt 0.867 0.369 0.000
17 Pt 0.633 0.869 0.000
18 Pt 0.367 0.131 0.000

The following is a DFT calculation (PBE) of a geometry-optimized Mn3W structure.

- ΔE_f: 113.0 meV/atom
- Space group: P4/mmm (123)

a = 2.977 Å, b = 2.977 Å, c = 5.688 Å
α = 90.00°, β = 90.00°, γ = 90.00°
Positions (direct):
1 Mn 0.000 0.000 0.492
2 Mn 0.500 0.500 0.250
3 Mn 0.000 0.000 0.008
4 W 0.500 0.500 0.750

The following is a DFT calculation (PBE) of a geometry-optimized PaMn2GaC structure.

- ΔE_f: -189.2 meV/atom
- Space group: Cmcm (63)

a = 4.010 Å, b = 5.730 Å, c = 6.638 Å
α = 90.00°, β = 90.00°, γ = 110.48°
Positions (direct):
1 Ga 0.727 0.453 0.750
2 Ga 0.273 0.547 0.250
3 C 0.000 0.000 0.000
4 C 0.000 0.000 0.500
5 Pa 0.441 0.882 0.750
6 Pa 0.559 0.118 0.250
7 Mn 0.162 0.324 0.925
8 Mn 0.838 0.676 0.425
9 Mn 0.162 0.324 0.575
10 Mn 0.838 0.676 0.075

The following is a DFT calculation (PBE) of a geometry-optimized Sr2ReP structure.

- ΔE_f: -217.7 meV/atom
- Space group: R3m (160)

a = 8.757 Å, b = 8.757 Å, c = 8.757 Å
α = 26.90°, β = 26.90°, γ = 26.90°
Positions (direct):
1 P 0.542 0.542 0.542
2 Sr 0.785 0.785 0.785
3 Sr 0.965 0.965 0.965
4 Re 0.208 0.208 0.208